MnNi2Cl: relaxed, PBE.

Computed properties:
- Spin magnetization: 4.3 μB/cell
- DFT total energy: -5.57 eV/atom
- Distance to the lowest polymorph of the same formula: 0 meV per atom
- Formation energy from raw total energies: 0.0749 eV/atom
- Crystal system: monoclinic
- Space group: P2/m, No. 10

a b c (Å): 3.094 2.969 6.328
angles (deg): 90.00 90.11 90.00
Atoms (fractional coordinates):
Mn 0.000 0.000 0.000
Ni 0.499 0.500 0.798
Ni 0.501 0.500 0.202
Cl 0.500 0.000 0.500